First-principles (PBE with a Hubbard U) data for a geometry-optimized AcNd2WO8 structure, as listed in the Alexandria database.

Cell: 5.209 7.297 5.211 Å, 90.00 90.33 90.00°
Space group P2/m (No. 10)
Inequivalent atoms, fractional coordinates:
Ac  0.000  0.000  0.000
Nd  0.500  0.263  0.500
W  0.000  0.500  0.000
O  0.180  0.303  0.819
O  0.268  0.500  0.267
O  0.320  0.000  0.319

Calculated values
As for the electronic total energy: -7.786 eV/atom.